Record 1
Density functional theory data (GGA-PBE) for an optimized crystal structure of TiMo2Se2S4.

Results
DOS at the Fermi energy = 1.92 states/eV/f.u.
total DFT energy (no corrections) = -6.76 eV/atom

Cell lengths 3.2732, 3.2732, 21.2526 Å; angles 90.00, 90.00, 120.00 degrees
Space group P3m1 (No. 156)
Inequivalent atoms, fractional coordinates:
1 Ti 0.0000 0.0000 0.0000 [1 per cell]
2 Mo 0.0000 0.0000 0.6494 [1 per cell]
3 Mo 0.6667 0.3333 0.3286 [1 per cell]
4 Se 0.6667 0.3333 0.0793 [1 per cell]
5 Se 0.6667 0.3333 0.9207 [1 per cell]
6 S 0.0000 0.0000 0.2562 [1 per cell]
7 S 0.0000 0.0000 0.4009 [1 per cell]
8 S 0.6667 0.3333 0.5770 [1 per cell]
9 S 0.6667 0.3333 0.7217 [1 per cell]

=====

Record 2
Density functional theory data (GGA-PBE) for an optimized crystal structure of TaSbPtI2.

Results
DOS at the Fermi energy = 5.83 states/eV/f.u.
total DFT energy (no corrections) = -3.87 eV/atom
E above lowest polymorph = 0.1867 eV/atom

Cell lengths 5.3525, 5.3525, 5.2573 Å; angles 90.00, 90.00, 90.00 degrees
Space group P4/mmm (No. 123)
Inequivalent atoms, fractional coordinates:
1 Ta 0.0000 0.0000 0.0000 [1 per cell]
2 Sb 0.5000 0.5000 0.0000 [1 per cell]
3 Pt 0.5000 0.5000 0.5000 [1 per cell]
4 I 0.0000 0.5000 0.5000 [2 per cell]

=====

Record 3
Density functional theory data (GGA-PBE) for an optimized crystal structure of Sr6Tl5Pb.

Results
DOS at the Fermi energy = 8.01 states/eV/f.u.
total DFT energy (no corrections) = -2.59 eV/atom
ΔE_f = -5.407 eV/f.u.

Cell lengths 18.3738, 8.1940, 5.8130 Å; angles 90.00, 108.29, 90.00 degrees
Space group C2/m (No. 12)
Inequivalent atoms, fractional coordinates:
1 Sr 0.0000 0.2492 0.0000 [4 per cell]
2 Sr 0.1661 0.2501 0.6661 [8 per cell]
3 Tl 0.0000 0.5000 0.5000 [2 per cell]
4 Tl 0.1680 0.5000 0.1683 [4 per cell]
5 Tl 0.1696 0.0000 0.1697 [4 per cell]
6 Pb 0.0000 0.0000 0.5000 [2 per cell]

=====

Record 4
Density functional theory data (GGA-PBE) for an optimized crystal structure of LiGaC.

Results
DOS at the Fermi energy = 0.00 states/eV/f.u.
total DFT energy (no corrections) = -4.36 eV/atom
ΔE_f = 1.074 eV/f.u.

Cell lengths 3.6322, 3.6322, 5.2337 Å; angles 90.00, 90.00, 90.00 degrees
Space group P4/nmm (No. 129, origin choice 2)
Inequivalent atoms, fractional coordinates:
1 Li 0.2500 0.7500 0.0000 [2 per cell]
2 Ga 0.2500 0.7500 0.5000 [2 per cell]
3 C 0.2500 0.2500 0.2786 [2 per cell]